[1]
Compound: Ho2CoGe2
Source: the Open Quantum Materials Database
Functional: PBE-GGA
Structure: relaxed

The space group is C2/m (No. 12) and the conventional cell measures 10.3886, 4.1792 and 10.1608 Å, with angles of 90.00, 117.59 and 90.00 degrees. The distinct sites, in fractional coordinates, are Ho at (0.0045, 0.0000, 0.3327), Ho at (0.1868, 0.0000, 0.1154), Co at (0.2232, 0.5000, 0.3474), Ge at (0.0167, 0.5000, 0.8775) and Ge at (0.1567, 0.5000, 0.5624).

The raw total energy comes out at -5.856 eV/atom. For the theoretical density, the calculation gives 9.1 g/cm³. The calculation puts the total magnetic moment at 0.01 μB/cell.

[2]
Compound: HoCo2Ge2
Source: the Open Quantum Materials Database
Functional: PBE-GGA
Structure: relaxed

The space group is I4/mmm (No. 139) and the conventional cell measures 3.9496, 3.9496 and 10.1010 Å, with angles of 90.00, 90.00 and 90.00 degrees. The distinct sites, in fractional coordinates, are Ho at (0.0000, 0.0000, 0.0000), Co at (0.0000, 0.5000, 0.2500) and Ge at (0.0000, 0.0000, 0.3729).

The raw total energy comes out at -6.215 eV/atom. For the theoretical density, the calculation gives 9.0 g/cm³. The calculation puts the total magnetic moment at 0.06 μB/cell.

[3]
Compound: Ho2Co3Ge5
Source: the Open Quantum Materials Database
Functional: PBE-GGA
Structure: relaxed

The space group is C2/c (No. 15) and the conventional cell measures 11.0497, 11.7595 and 5.7205 Å, with angles of 90.00, 119.26 and 90.00 degrees. The distinct sites, in fractional coordinates, are Ho at (0.2323, 0.1398, 0.2325), Co at (0.0000, 0.4962, 0.7500), Co at (0.0993, 0.1403, 0.6192), Ge at (0.0000, 0.0085, 0.2500), Ge at (0.0000, 0.2724, 0.2500), Ge at (0.0000, 0.2846, 0.7500) and Ge at (0.1691, 0.4083, 0.1722).

The raw total energy comes out at -5.936 eV/atom. For the theoretical density, the calculation gives 8.9 g/cm³. The calculation puts the total magnetic moment at 0.06 μB/cell.

[4]
Compound: Ho3Co2Ge3
Source: the Open Quantum Materials Database
Functional: PBE-GGA
Structure: relaxed

The space group is Cmcm (No. 63) and the conventional cell measures 4.1616, 10.3782 and 13.9633 Å, with angles of 90.00, 90.00 and 90.00 degrees. The distinct sites, in fractional coordinates, are Ho at (0.0000, 0.0818, 0.1093), Ho at (0.0000, 0.3594, 0.2500), Co at (0.0000, 0.2064, 0.5980), Ge at (0.0000, 0.3381, 0.7500) and Ge at (0.0000, 0.3701, 0.0390).

The raw total energy comes out at -5.953 eV/atom. For the theoretical density, the calculation gives 9.1 g/cm³. The calculation puts the total magnetic moment at 0.00 μB/cell.